1.
Density functional theory data (PBE) for crystalline ZrCo2Mo at its relaxed geometry.

abc: 2.8199 3.5998 5.7075
angles: 90.00 90.72 90.00
With the nearest neighbours (Å) after each atom.
Sites, in units of the cell vectors:
1 Zr 0.0000 0.0000 0.0000  8 Co 2.77-2.79, 2 Zr 2.82, 2 Mo 2.85
2 Co 0.5000 0.5000 0.2772  3 Co 2.54-2.82, 4 Mo 2.61-2.62, 4 Zr 2.77-2.79
3 Co 0.5000 0.5000 0.7228  3 Co 2.54-2.82, 4 Mo 2.61-2.62, 4 Zr 2.77-2.79
4 Mo 0.0000 0.0000 0.5000  8 Co 2.61-2.62, 2 Mo 2.82, 2 Zr 2.85

Output
energy above the lowest structure with this stoichiometry	71	meV per atom
DFT formation energy	0.01	eV/atom
total DFT energy (no corrections)	-0.61614	Ry per atom

---

2.
Density functional theory data (PBE) for crystalline ZrCo2Mo at its relaxed geometry.

abc: 4.3250 4.3250 4.3250
angles: 60.00 60.00 60.00
With the nearest neighbours (Å) after each atom.
Sites, in units of the cell vectors:
1 Zr 0.0000 0.0000 0.0000  4 Mo 2.65, 4 Co 2.65
2 Co 0.2500 0.2500 0.2500  4 Zr 2.65, 4 Co 2.65
3 Co 0.5000 0.5000 0.5000  4 Mo 2.65, 4 Co 2.65
4 Mo 0.7500 0.7500 0.7500  4 Zr 2.65, 4 Co 2.65

Output
energy above the lowest structure with this stoichiometry	214	meV per atom
DFT formation energy	0.16	eV/atom
total DFT energy (no corrections)	-0.60565	Ry per atom

---

3.
Density functional theory data (PBE) for crystalline ZrCo2Mo2 at its relaxed geometry.

abc: 7.4901 7.4901 2.6640
angles: 90.00 90.00 90.00
With the nearest neighbours (Å) after each atom.
Sites, in units of the cell vectors:
1 Zr 0.0000 0.0000 0.0000  2 Zr 2.66, 4 Mo 2.97
2 Zr 0.5000 0.5000 0.0000  2 Zr 2.66, 4 Mo 2.97
3 Co 0.1726 0.3274 0.5000  6 Mo 2.54-2.61, 2 Co 2.66
4 Co 0.3274 0.8274 0.5000  6 Mo 2.54-2.61, 2 Co 2.66
5 Co 0.6726 0.1726 0.5000  6 Mo 2.54-2.61, 2 Co 2.66
6 Co 0.8274 0.6726 0.5000  6 Mo 2.54-2.61, 2 Co 2.66
7 Mo 0.1237 0.6237 0.0000  6 Co 2.54-2.61, 3 Mo 2.62-2.66
8 Mo 0.3763 0.1237 0.0000  6 Co 2.54-2.61, 3 Mo 2.62-2.66
9 Mo 0.6237 0.8763 0.0000  6 Co 2.54-2.61, 3 Mo 2.62-2.66
10 Mo 0.8763 0.3763 0.0000  6 Co 2.54-2.61, 3 Mo 2.62-2.66

Output
energy above the lowest structure with this stoichiometry	46	meV per atom
DFT formation energy	0.12	eV/atom
total DFT energy (no corrections)	-0.64449	Ry per atom

---

4.
Density functional theory data (PBE) for crystalline ZrCo2Mo at its relaxed geometry.

abc: 5.1821 5.1821 5.1821
angles: 145.54 129.96 62.17
With the nearest neighbours (Å) after each atom.
Sites, in units of the cell vectors:
1 Zr 0.0000 0.0000 0.0000  6 Co 2.68-2.76, 2 Mo 2.82
2 Co 0.2581 0.7581 0.5000  2 Co 2.63, 4 Mo 2.69, 2 Zr 2.76
3 Co 0.4982 0.4982 0.0000  2 Mo 2.59, 2 Co 2.63, 4 Zr 2.68
4 Mo 0.7330 0.2330 0.5000  6 Co 2.59-2.69, 2 Zr 2.82

Output
energy above the lowest structure with this stoichiometry	182	meV per atom
DFT formation energy	0.13	eV/atom
total DFT energy (no corrections)	-0.60798	Ry per atom

---

5.
Density functional theory data (PBE) for crystalline ZrCo2Mo at its relaxed geometry.

abc: 2.7726 2.7726 7.6931
angles: 90.00 90.00 90.00
With the nearest neighbours (Å) after each atom.
Sites, in units of the cell vectors:
1 Zr 0.0000 0.0000 0.0000  4 Zr 2.77, 4 Co 2.85
2 Co 0.0000 0.0000 0.4498  4 Co 2.40, 4 Mo 2.67
3 Co 0.5000 0.5000 0.2695  4 Co 2.40
4 Mo 0.5000 0.5000 0.6863  4 Co 2.67, 4 Mo 2.77

Output
energy above the lowest structure with this stoichiometry	185	meV per atom
DFT formation energy	0.13	eV/atom
total DFT energy (no corrections)	-0.60775	Ry per atom

---

6.
Density functional theory data (PBE) for crystalline Zr2CoMo3 at its relaxed geometry.

abc: 5.2191 5.2191 8.8107
angles: 90.00 90.00 120.00
With the nearest neighbours (Å) after each atom.
Sites, in units of the cell vectors:
1 Zr 0.3333 0.6667 0.0593  3 Co 3.06, 9 Mo 3.10-3.11, 4 Zr 3.19-3.36
2 Zr 0.3333 0.6667 0.4407  3 Co 3.06, 9 Mo 3.10-3.11, 4 Zr 3.19-3.36
3 Zr 0.6667 0.3333 0.5593  3 Co 3.06, 9 Mo 3.10-3.11, 4 Zr 3.19-3.36
4 Zr 0.6667 0.3333 0.9407  3 Co 3.06, 9 Mo 3.10-3.11, 4 Zr 3.19-3.36
5 Co 0.0000 0.0000 0.0000  6 Mo 2.67
6 Co 0.0000 0.0000 0.5000  6 Mo 2.67
7 Mo 0.1679 0.3358 0.7500  4 Mo 2.59-2.63, 2 Co 2.67
8 Mo 0.1679 0.8321 0.7500  4 Mo 2.59-2.63, 2 Co 2.67
9 Mo 0.3358 0.1679 0.2500  4 Mo 2.59-2.63, 2 Co 2.67
10 Mo 0.6642 0.8321 0.7500  4 Mo 2.59-2.63, 2 Co 2.67
11 Mo 0.8321 0.1679 0.2500  4 Mo 2.59-2.63, 2 Co 2.67
12 Mo 0.8321 0.6642 0.2500  4 Mo 2.59-2.63, 2 Co 2.67

Output
energy above the lowest structure with this stoichiometry	0	meV per atom
DFT formation energy	-0.14	eV/atom
total DFT energy (no corrections)	-0.70488	Ry per atom

---

The highest total DFT energy (no corrections) belongs to which entry? number 2

---

Among the records above, which one has the lowest energy above the lowest structure with this stoichiometry? Zr2CoMo3

---

Which of these has the highest energy above the lowest structure with this stoichiometry? number 2

---

The lowest energy above the lowest structure with this stoichiometry belongs to which entry? Zr2CoMo3